No. 1
Material: NaCuPtSe3
Method: DFT, PBE
State: optimized geometry

The structure in CIF format:
```
data_NaCuPtSe3
_chemical_formula_sum 'Na4 Cu4 Pt4 Se12'
_symmetry_space_group_name_H-M 'P n m a'
_symmetry_Int_Tables_number 62
_symmetry_space_group_name_Hall '-P 2ac 2n'
_cell_length_a 12.7106
_cell_length_b 3.8898
_cell_length_c 10.4027
_cell_angle_alpha 90.00
_cell_angle_beta 90.00
_cell_angle_gamma 90.00
loop_
_atom_site_label
_atom_site_type_symbol
_atom_site_fract_x
_atom_site_fract_y
_atom_site_fract_z
Na1 Na 0.2148 0.2500 0.0410
Cu1 Cu 0.0098 0.7500 0.0776
Pt1 Pt 0.0087 0.2500 0.3440
Se1 Se 0.0975 0.2500 0.5613
Se2 Se 0.1007 0.7500 0.8629
Se3 Se 0.1253 0.7500 0.2687
```

Output
- size of the total moment (μB per formula unit) = 0.006
- raw total energy (eV/cell) = -97.15

=====

No. 2
Material: NaCuPtSe3
Method: DFT, PBE
State: optimized geometry

The structure in CIF format:
```
data_NaCuPtSe3
_chemical_formula_sum 'Na4 Cu4 Pt4 Se12'
_symmetry_space_group_name_H-M 'P n m a'
_symmetry_Int_Tables_number 62
_symmetry_space_group_name_Hall '-P 2ac 2n'
_cell_length_a 13.4347
_cell_length_b 3.8835
_cell_length_c 9.8240
_cell_angle_alpha 90.00
_cell_angle_beta 90.00
_cell_angle_gamma 90.00
loop_
_atom_site_label
_atom_site_type_symbol
_atom_site_fract_x
_atom_site_fract_y
_atom_site_fract_z
Na1 Na 0.1543 0.2500 0.0138
Cu1 Cu 0.2009 0.7500 0.2558
Pt1 Pt 0.0414 0.7500 0.6533
Se1 Se 0.0300 0.7500 0.2061
Se2 Se 0.1041 0.2500 0.5092
Se3 Se 0.2009 0.7500 0.7910
```

Output
- size of the total moment (μB per formula unit) = 0.002
- raw total energy (eV/cell) = -97.72

=====

No. 3
Material: NaCuPtSe3
Method: DFT, PBE
State: optimized geometry

The structure in CIF format:
```
data_NaCuPtSe3
_chemical_formula_sum 'Na2 Cu2 Pt2 Se6'
_symmetry_space_group_name_H-M 'P 1 21/m 1'
_symmetry_Int_Tables_number 11
_symmetry_space_group_name_Hall '-P 2yb'
_cell_length_a 7.3424
_cell_length_b 3.8518
_cell_length_c 9.3636
_cell_angle_alpha 90.00
_cell_angle_beta 104.69
_cell_angle_gamma 90.00
loop_
_atom_site_label
_atom_site_type_symbol
_atom_site_fract_x
_atom_site_fract_y
_atom_site_fract_z
Na1 Na 0.2407 0.2500 0.1825
Cu1 Cu 0.4392 0.2500 0.9125
Pt1 Pt 0.1698 0.7500 0.6490
Se1 Se 0.0644 0.7500 0.3711
Se2 Se 0.2311 0.7500 0.9309
Se3 Se 0.3977 0.2500 0.6462
```

Output
- size of the total moment (μB per formula unit) = 0.003
- raw total energy (eV/cell) = -48.59

=====

No. 4
Material: NaCuPtSe3
Method: DFT, PBE
State: optimized geometry

The structure in CIF format:
```
data_NaCuPtSe3
_chemical_formula_sum 'Na4 Cu4 Pt4 Se12'
_symmetry_space_group_name_H-M 'C m c m'
_symmetry_Int_Tables_number 63
_symmetry_space_group_name_Hall '-C 2c 2'
_cell_length_a 3.8171
_cell_length_b 12.7784
_cell_length_c 10.1686
_cell_angle_alpha 90.00
_cell_angle_beta 90.00
_cell_angle_gamma 90.00
loop_
_atom_site_label
_atom_site_type_symbol
_atom_site_fract_x
_atom_site_fract_y
_atom_site_fract_z
Na1 Na 0.0000 0.2454 0.2500
Cu1 Cu 0.0000 0.4506 0.7500
Pt1 Pt 0.0000 0.0000 0.0000
Se1 Se 0.0000 0.0682 0.7500
Se2 Se 0.0000 0.3692 0.5346
```

Output
- size of the total moment (μB per formula unit) = 0.014
- raw total energy (eV/cell) = -96.16

=====

No. 5
Material: NaCuTePtSe2
Method: DFT, PBE
State: optimized geometry

The structure in CIF format:
```
data_NaCuTePtSe2
_chemical_formula_sum 'Na4 Cu4 Te4 Pt4 Se8'
_symmetry_space_group_name_H-M 'C m c m'
_symmetry_Int_Tables_number 63
_symmetry_space_group_name_Hall '-C 2c 2'
_cell_length_a 3.8299
_cell_length_b 13.3601
_cell_length_c 10.5614
_cell_angle_alpha 90.00
_cell_angle_beta 90.00
_cell_angle_gamma 90.00
loop_
_atom_site_label
_atom_site_type_symbol
_atom_site_fract_x
_atom_site_fract_y
_atom_site_fract_z
Na1 Na 0.0000 0.2331 0.2500
Cu1 Cu 0.0000 0.4417 0.7500
Te1 Te 0.0000 0.0736 0.7500
Pt1 Pt 0.0000 0.0000 0.0000
Se1 Se 0.0000 0.3758 0.5375
```

Output
- size of the total moment (μB per formula unit) = 0.003
- raw total energy (eV/cell) = -93.87

=====

No. 6
Material: Na4CuSi2Pt
Method: DFT, PBE
State: optimized geometry

The structure in CIF format:
```
data_Na4CuSi2Pt
_chemical_formula_sum 'Na4 Cu1 Si2 Pt1'
_symmetry_space_group_name_H-M 'P -4 m 2'
_symmetry_Int_Tables_number 115
_symmetry_space_group_name_Hall 'P -4 -2'
_cell_length_a 4.6026
_cell_length_b 4.6026
_cell_length_c 6.4698
_cell_angle_alpha 90.00
_cell_angle_beta 90.00
_cell_angle_gamma 90.00
loop_
_atom_site_label
_atom_site_type_symbol
_atom_site_fract_x
_atom_site_fract_y
_atom_site_fract_z
Na1 Na 0.0000 0.0000 0.0000
Na2 Na 0.0000 0.5000 0.7385
Na3 Na 0.5000 0.5000 0.5000
Cu1 Cu 0.0000 0.0000 0.5000
Si1 Si 0.0000 0.5000 0.2312
Pt1 Pt 0.5000 0.5000 0.0000
```

Output
- size of the total moment (μB per formula unit) = 0.003
- raw total energy (eV/cell) = -25.37

=====

No. 7
Material: NaCuTe3Pt
Method: DFT, PBE
State: optimized geometry

The structure in CIF format:
```
data_NaCuTe3Pt
_chemical_formula_sum 'Na4 Cu4 Te12 Pt4'
_symmetry_space_group_name_H-M 'C m c m'
_symmetry_Int_Tables_number 63
_symmetry_space_group_name_Hall '-C 2c 2'
_cell_length_a 4.0706
_cell_length_b 13.1218
_cell_length_c 11.0593
_cell_angle_alpha 90.00
_cell_angle_beta 90.00
_cell_angle_gamma 90.00
loop_
_atom_site_label
_atom_site_type_symbol
_atom_site_fract_x
_atom_site_fract_y
_atom_site_fract_z
Na1 Na 0.0000 0.2452 0.2500
Cu1 Cu 0.0000 0.4341 0.7500
Te1 Te 0.0000 0.0576 0.7500
Te2 Te 0.0000 0.3654 0.5303
Pt1 Pt 0.0000 0.0000 0.0000
```

Output
- size of the total moment (μB per formula unit) = 0.006
- raw total energy (eV/cell) = -90.33

=====

No. 8
Material: NaCuTe3Pt
Method: DFT, PBE
State: optimized geometry

The structure in CIF format:
```
data_NaCuTe3Pt
_chemical_formula_sum 'Na4 Cu4 Te12 Pt4'
_symmetry_space_group_name_H-M 'P n m a'
_symmetry_Int_Tables_number 62
_symmetry_space_group_name_Hall '-P 2ac 2n'
_cell_length_a 14.3830
_cell_length_b 4.1654
_cell_length_c 10.3142
_cell_angle_alpha 90.00
_cell_angle_beta 90.00
_cell_angle_gamma 90.00
loop_
_atom_site_label
_atom_site_type_symbol
_atom_site_fract_x
_atom_site_fract_y
_atom_site_fract_z
Na1 Na 0.1608 0.2500 0.0232
Cu1 Cu 0.1975 0.7500 0.2557
Te1 Te 0.0259 0.7500 0.1997
Te2 Te 0.1028 0.2500 0.5076
Te3 Te 0.2041 0.7500 0.7933
Pt1 Pt 0.0428 0.7500 0.6551
```

Output
- size of the total moment (μB per formula unit) = 0.001
- raw total energy (eV/cell) = -91.48